CsPdW2: relaxed, PBE.

abc: 4.911 4.911 19.126
angles: 90.00 90.00 90.00
Space group I-42d (No. 122)
Inequivalent atoms, fractional coordinates:
Cs 0.000 0.000 0.000 [4 per cell]
Pd 0.000 0.000 0.500 [4 per cell]
W 0.023 0.750 0.625 [8 per cell]

Computed properties:
The value obtained for the formation energy is 1.88 eV/atom. The calculation puts the polymorph energy (0 for the lowest one) at 0.000 eV/atom. The mass density is 8.74 g/cm³.